No. 1
HoHfAsO: relaxed, PBE-GGA.

Properties
Polymorph energy (0 for the lowest one) ... 472 meV/atom
VASP energy ... -7.4742 eV/atom

Unit cell a=4.0473 b=4.0473 c=8.4043 alpha=90.00 beta=90.00 gamma=90.00
Space group P4/nmm (No. 129, origin choice 2)
Symmetry-distinct sites (fractional):
Ho1 0.2500 0.7500 0.0000
Hf1 0.2500 0.2500 0.3848
As1 0.2500 0.2500 0.7604
O1 0.2500 0.7500 0.5000


No. 2
HfIn2As: relaxed, PBE-GGA.

Properties
VASP energy ... -4.8736 eV/atom

Unit cell a=7.0759 b=7.0759 c=7.0759 alpha=90.00 beta=90.00 gamma=90.00
Space group F-43m (No. 216)
Symmetry-distinct sites (fractional):
Hf1 0.0000 0.0000 0.0000
In1 0.0000 0.0000 0.5000
In2 0.2500 0.2500 0.2500
As1 0.2500 0.2500 0.7500


No. 3
HfInAs2: relaxed, PBE-GGA.

Properties
VASP energy ... -5.2752 eV/atom

Unit cell a=6.9490 b=6.9490 c=6.9490 alpha=90.00 beta=90.00 gamma=90.00
Space group F-43m (No. 216)
Symmetry-distinct sites (fractional):
Hf1 0.0000 0.0000 0.0000
In1 0.2500 0.2500 0.7500
As1 0.0000 0.0000 0.5000
As2 0.2500 0.2500 0.2500


No. 4
HfInAsO: relaxed, PBE-GGA.

Properties
Polymorph energy (0 for the lowest one) ... 78 meV/atom
VASP energy ... -6.7484 eV/atom

Unit cell a=3.8578 b=3.8578 c=10.1982 alpha=90.00 beta=90.00 gamma=90.00
Space group P4/nmm (No. 129, origin choice 2)
Symmetry-distinct sites (fractional):
Hf1 0.2500 0.2500 0.1092
In1 0.2500 0.7500 0.5000
As1 0.2500 0.2500 0.7549
O1 0.2500 0.7500 0.0000


No. 5
HfInAsO: relaxed, PBE-GGA.

Properties
Polymorph energy (0 for the lowest one) ... 549 meV/atom
VASP energy ... -6.2773 eV/atom

Unit cell a=4.3630 b=4.3630 c=7.5759 alpha=90.00 beta=90.00 gamma=90.00
Space group P4/nmm (No. 129, origin choice 2)
Symmetry-distinct sites (fractional):
Hf1 0.2500 0.7500 0.0000
In1 0.2500 0.2500 0.3876
As1 0.2500 0.2500 0.8019
O1 0.2500 0.7500 0.5000


No. 6
HfInAsO: relaxed, PBE-GGA.

Properties
Polymorph energy (0 for the lowest one) ... 0 meV/atom
VASP energy ... -6.8267 eV/atom

Unit cell a=3.8329 b=8.3561 c=5.4580 alpha=90.00 beta=90.00 gamma=90.00
Space group Pmc2_1 (No. 26)
Symmetry-distinct sites (fractional):
Hf1 0.0000 0.1356 0.0000
In1 0.5000 0.4106 0.5376
As1 0.0000 0.1812 0.4975
O1 0.5000 0.1996 0.9982